No. 1
DFT (PBE) results for a geometry-optimized Sc4AsRh structure.

Cell: 5.557 5.557 5.557 Å, 60.00 60.00 60.00°
Fractional positions:
Sc: 0.125 0.125 0.125
Sc: 0.125 0.125 0.624
Sc: 0.125 0.624 0.125
Sc: 0.624 0.125 0.125
As: 0.750 0.750 0.750
Rh: 0.500 0.500 0.500

Properties
For the formation energy from the elements, the calculation gives 1.1 eV per formula unit. Its spin magnetization is 0.1738 μB/atom. The space group is F-43m.


No. 2
DFT (PBE) results for a geometry-optimized Sc3As2Rh7 structure.

Cell: 12.930 12.930 3.919 Å, 90.00 90.00 162.11°
Fractional positions:
Sc: 0.000 0.000 0.000
Sc: 0.179 0.821 0.000
Sc: 0.821 0.179 0.000
As: 0.369 0.631 0.500
As: 0.631 0.369 0.500
Rh: 0.079 0.921 0.500
Rh: 0.278 0.722 0.500
Rh: 0.423 0.577 0.000
Rh: 0.500 0.500 0.500
Rh: 0.577 0.423 0.000
Rh: 0.722 0.278 0.500
Rh: 0.921 0.079 0.500

Properties
For the formation energy from the elements, the calculation gives -8.4 eV per formula unit. Its spin magnetization is 0.0000 μB/atom. The space group is Cmmm.


No. 3
DFT (PBE) results for a geometry-optimized ScAsRh2 structure.

Cell: 4.094 4.094 3.714 Å, 90.00 90.00 90.00°
Fractional positions:
Sc: 0.000 0.000 0.000
As: 0.500 0.500 0.000
Rh: 0.000 0.500 0.500
Rh: 0.500 0.000 0.500

Properties
For the formation energy from the elements, the calculation gives -3.1 eV per formula unit. Its spin magnetization is 0.0000 μB/atom. The space group is P4/mmm.


No. 4
DFT (PBE) results for a geometry-optimized ScAs2Rh structure.

Cell: 5.019 5.019 4.613 Å, 103.46 103.46 37.81°
Fractional positions:
Sc: 0.000 0.000 0.000
As: 0.495 0.495 0.493
As: 0.736 0.736 0.089
Rh: 0.218 0.218 0.627

Properties
For the formation energy from the elements, the calculation gives -2.7 eV per formula unit. Its spin magnetization is 0.0000 μB/atom. The space group is Cm.


No. 5
DFT (PBE) results for a geometry-optimized ScAs2Rh structure.

Cell: 3.845 3.699 5.331 Å, 90.00 107.57 90.00°
Fractional positions:
Sc: 0.000 0.000 0.000
As: 0.000 0.000 0.500
As: 0.500 0.500 0.000
Rh: 0.500 0.500 0.500

Properties
For the formation energy from the elements, the calculation gives -2.4 eV per formula unit. Its spin magnetization is 0.0000 μB/atom. The space group is P2/m.


No. 6
DFT (PBE) results for a geometry-optimized ScAs2Rh structure.

Cell: 4.615 4.615 4.615 Å, 60.00 60.00 60.00°
Fractional positions:
Sc: 0.000 0.000 0.000
As: 0.250 0.250 0.250
As: 0.500 0.500 0.500
Rh: 0.750 0.750 0.750

Properties
For the formation energy from the elements, the calculation gives -1.5 eV per formula unit. Its spin magnetization is 0.0000 μB/atom. The space group is F-43m.


No. 7
DFT (PBE) results for a geometry-optimized ScAs3Rh structure.

Cell: 4.970 4.970 4.970 Å, 90.00 90.00 90.00°
Fractional positions:
Sc: 0.000 0.000 0.000
As: 0.000 0.000 0.500
As: 0.000 0.500 0.000
As: 0.500 0.000 0.000
Rh: 0.500 0.500 0.500

Properties
For the formation energy from the elements, the calculation gives 3.5 eV per formula unit. Its spin magnetization is 0.0000 μB/atom. The space group is Pm-3m.


No. 8
DFT (PBE) results for a geometry-optimized Sc2AsRh structure.

Cell: 5.919 5.919 5.919 Å, 106.13 106.13 116.38°
Fractional positions:
Sc: 0.110 0.625 0.985
Sc: 0.375 0.360 0.485
Sc: 0.640 0.125 0.015
Sc: 0.875 0.890 0.515
As: 0.250 0.750 0.500
As: 0.500 0.500 0.000
Rh: 0.000 0.000 0.000
Rh: 0.750 0.250 0.500

Properties
For the formation energy from the elements, the calculation gives -2.4 eV per formula unit. Its spin magnetization is 0.0000 μB/atom. The space group is I-42d.


No. 9
DFT (PBE) results for a geometry-optimized ScAs2Rh structure.

Cell: 4.572 4.572 3.189 Å, 90.00 90.00 90.00°
Fractional positions:
Sc: 0.000 0.000 0.000
As: 0.000 0.500 0.500
As: 0.500 0.000 0.500
Rh: 0.500 0.500 0.000

Properties
For the formation energy from the elements, the calculation gives -2.6 eV per formula unit. Its spin magnetization is 0.0000 μB/atom. The space group is P4/mmm.


No. 10
DFT (PBE) results for a geometry-optimized Sc2AsRh structure.

Cell: 3.796 3.796 5.535 Å, 90.00 90.00 90.00°
Fractional positions:
Sc: 0.000 0.000 0.000
Sc: 0.500 0.500 0.383
As: 0.000 0.000 0.497
Rh: 0.500 0.500 0.923

Properties
For the formation energy from the elements, the calculation gives -3.4 eV per formula unit. Its spin magnetization is 0.0000 μB/atom. The space group is P4mm.


No. 11
DFT (PBE) results for a geometry-optimized Sc2AsRh structure.

Cell: 8.468 8.468 8.468 Å, 23.07 23.07 23.07°
Fractional positions:
Sc: 0.000 0.000 0.000
Sc: 0.229 0.229 0.229
As: 0.749 0.749 0.749
Rh: 0.473 0.473 0.473

Properties
For the formation energy from the elements, the calculation gives -1.2 eV per formula unit. Its spin magnetization is 0.2541 μB/atom. The space group is R3m.


No. 12
DFT (PBE) results for a geometry-optimized ScAsRh2 structure.

Cell: 3.098 3.874 5.704 Å, 90.00 90.07 90.00°
Fractional positions:
Sc: 0.000 0.000 0.000
As: 0.500 0.000 0.500
Rh: 0.500 0.500 0.243
Rh: 0.500 0.500 0.757

Properties
For the formation energy from the elements, the calculation gives -2.4 eV per formula unit. Its spin magnetization is 0.0000 μB/atom. The space group is P2/m.